Below is a relaxed RbMn3O3 crystal, with properties calculated at the GGA+U level.

abc: 5.862 5.862 9.466
angles: 71.96 71.96 60.00
Each line ends with the local moment (μB).
Sites, in units of the cell vectors:
Rb  0.334  0.334  0.997  0.00
Rb  0.666  0.666  0.003  0.00
Mn  0.436  0.793  0.667  4.55
Mn  0.793  0.104  0.667  4.55
Mn  0.104  0.436  0.667  4.55
Mn  0.896  0.564  0.333  4.55
Mn  0.207  0.896  0.333  4.55
Mn  0.564  0.207  0.333  4.55
O  0.260  0.573  0.258  0.07
O  0.909  0.260  0.258  0.07
O  0.573  0.909  0.258  0.07
O  0.427  0.091  0.742  0.07
O  0.091  0.740  0.742  0.07
O  0.740  0.427  0.742  0.07

* uncorrected energy: -93.2 eV for the cell shown